<w>
# PBE-GGA Ca2NdNi, optimized geometry
data_Ca2NdNi
_symmetry_space_group_name_H-M 'R -3 m'
_symmetry_Int_Tables_number 166
_symmetry_space_group_name_Hall '-R 3 2"'
_cell_length_a 3.6759
_cell_length_b 3.6759
_cell_length_c 32.2709
_cell_angle_alpha 90.00
_cell_angle_beta 90.00
_cell_angle_gamma 120.00
loop_
_atom_site_label
_atom_site_type_symbol
_atom_site_fract_x
_atom_site_fract_y
_atom_site_fract_z
Ca1 Ca 0.0000 0.0000 0.1122
Nd1 Nd 0.0000 0.0000 0.0000
Ni1 Ni 0.0000 0.0000 0.5000
# * ρ: 3.7 g/cm3

<x>
# PBE-GGA Ca2NdNi, optimized geometry
data_Ca2NdNi
_symmetry_space_group_name_H-M 'P 1 21/m 1'
_symmetry_Int_Tables_number 11
_symmetry_space_group_name_Hall '-P 2yb'
_cell_length_a 3.838
_cell_length_b 9.941
_cell_length_c 6.621
_cell_angle_alpha 90.00
_cell_angle_beta 106.84
_cell_angle_gamma 90.00
loop_
_atom_site_label
_atom_site_type_symbol
_atom_site_fract_x
_atom_site_fract_y
_atom_site_fract_z
Ca1 Ca 0.143 0.070 0.286
Nd1 Nd 0.411 0.250 0.821
Ni1 Ni 0.239 0.750 0.479
# * ρ: 3.9 g/cm3

Most stable to least stable: <x>, <w>

<w>
# PBE-GGA CaNdNiPd, optimized geometry
data_CaNdNiPd
_symmetry_space_group_name_H-M 'F -4 3 m'
_symmetry_Int_Tables_number 216
_symmetry_space_group_name_Hall 'F -4 2 3'
_cell_length_a 7.049
_cell_length_b 7.049
_cell_length_c 7.049
_cell_angle_alpha 90.00
_cell_angle_beta 90.00
_cell_angle_gamma 90.00
loop_
_atom_site_label
_atom_site_type_symbol
_atom_site_fract_x
_atom_site_fract_y
_atom_site_fract_z
Ca1 Ca 0.000 0.000 0.000
Nd1 Nd 0.000 0.000 0.500
Ni1 Ni 0.250 0.250 0.250
Pd1 Pd 0.250 0.250 0.750
# * ρ: 6.6 g/cm3

<x>
# PBE-GGA CaNdNiPd, optimized geometry
data_CaNdNiPd
_symmetry_space_group_name_H-M 'A m m 2'
_symmetry_Int_Tables_number 38
_symmetry_space_group_name_Hall 'A 2 -2'
_cell_length_a 4.241
_cell_length_b 3.963
_cell_length_c 10.978
_cell_angle_alpha 90.00
_cell_angle_beta 90.00
_cell_angle_gamma 90.00
loop_
_atom_site_label
_atom_site_type_symbol
_atom_site_fract_x
_atom_site_fract_y
_atom_site_fract_z
Ca1 Ca 0.000 0.000 0.000
Nd1 Nd 0.500 0.000 0.281
Ni1 Ni 0.000 0.000 0.718
Pd1 Pd 0.500 0.000 0.570
# * ρ: 6.3 g/cm3

Most stable to least stable: <x>, <w>

<w>
# PBE-GGA CaNdNiPt, optimized geometry
data_CaNdNiPt
_symmetry_space_group_name_H-M 'A m m 2'
_symmetry_Int_Tables_number 38
_symmetry_space_group_name_Hall 'A 2 -2'
_cell_length_a 4.267
_cell_length_b 4.001
_cell_length_c 10.741
_cell_angle_alpha 90.00
_cell_angle_beta 90.00
_cell_angle_gamma 90.00
loop_
_atom_site_label
_atom_site_type_symbol
_atom_site_fract_x
_atom_site_fract_y
_atom_site_fract_z
Ca1 Ca 0.000 0.000 0.000
Nd1 Nd 0.500 0.000 0.716
Ni1 Ni 0.000 0.000 0.287
Pt1 Pt 0.500 0.000 0.429
# * ρ: 7.9 g/cm3

<x>
# PBE-GGA CaNdNiPt, optimized geometry
data_CaNdNiPt
_symmetry_space_group_name_H-M 'F -4 3 m'
_symmetry_Int_Tables_number 216
_symmetry_space_group_name_Hall 'F -4 2 3'
_cell_length_a 7.020
_cell_length_b 7.020
_cell_length_c 7.020
_cell_angle_alpha 90.00
_cell_angle_beta 90.00
_cell_angle_gamma 90.00
loop_
_atom_site_label
_atom_site_type_symbol
_atom_site_fract_x
_atom_site_fract_y
_atom_site_fract_z
Ca1 Ca 0.000 0.000 0.000
Nd1 Nd 0.000 0.000 0.500
Ni1 Ni 0.250 0.250 0.250
Pt1 Pt 0.250 0.250 0.750
# * ρ: 8.4 g/cm3

Most stable to least stable: <w>, <x>